No. 1
SnH5Ir (PBE-GGA, relaxed); V = 10.327 Å³ per atom; symmetry = C2/c, No. 15; final energy = -57.43 eV per cell
1.0
-4.387 -1.930 1.137
2.597 0.932 4.080
-4.150 5.042 2.552
H Ir Sn
10 2 2
Cartesian
-6.924 2.940 4.157
-5.581 3.913 6.117
-0.991 3.199 4.544
-4.949 0.845 3.224
-4.420 -0.239 1.759
-2.687 1.367 2.403
-3.253 2.677 5.366
0.984 1.104 3.612
-0.359 0.131 1.652
-1.520 4.283 6.010
-4.268 1.556 1.844
0.000 0.000 0.000
-4.881 2.925 4.154
-1.059 1.119 3.614


No. 2
B5C7 (PBE-GGA, relaxed); energy of formation = 479.3 kJ/mol of formula units; V = 6.742 Å³ per atom; relative energy among the computed polymorphs = 156.0 meV per atom; symmetry = P1, No. 1
1.0
-2.147 -2.989 3.021
4.466 -0.485 -0.988
0.169 3.559 2.758
B C
5 7
Cartesian
2.327 2.046 3.156
1.186 -0.030 2.497
0.022 1.615 4.255
3.298 -0.174 -0.097
-0.928 -0.776 3.715
2.220 1.499 1.710
-0.176 0.542 3.112
0.884 -0.794 1.092
-1.332 -1.783 2.515
2.113 -0.824 3.552
3.471 0.924 1.082
-1.913 0.551 5.721


No. 3
SmAgPt (PBE-GGA, relaxed); energy of formation = -183.6 kJ/mol of formula units; V = 24.819 Å³ per atom; relative energy among the computed polymorphs = 149.1 meV per atom; symmetry = F-43m, No. 216
1.0
4.722 0.000 0.000
2.361 4.089 0.000
2.361 1.363 3.856
Sm Ag Pt
1 1 1
Cartesian
4.722 2.726 1.928
0.000 0.000 0.000
2.361 1.363 0.964


No. 4
La2Pr5Dy (PBE-GGA, relaxed); energy of formation = 9.8 kJ/mol of formula units; V = 35.810 Å³ per atom; symmetry = Pbam, No. 55
1.0
5.238 0.000 0.000
0.000 7.385 0.000
0.000 0.000 14.812
Dy Pr La
2 10 4
Cartesian
0.000 3.693 0.000
0.000 0.000 7.406
0.000 0.000 0.000
2.619 1.843 5.571
0.000 3.693 7.406
2.619 1.850 12.977
2.619 5.536 1.835
0.000 3.700 3.681
2.619 5.542 9.241
0.000 3.685 11.131
0.000 7.378 11.087
0.000 0.007 3.725
2.619 1.858 1.833
2.619 5.550 5.572
2.619 5.527 12.978
2.619 1.835 9.239


No. 5
KCaLa2Ni (PBE-GGA, relaxed); energy of formation = 22.8 kJ/mol of formula units; V = 37.431 Å³ per atom; symmetry = P4/mmm, No. 123
1.0
5.573 0.000 0.000
0.000 5.573 0.000
0.000 0.000 6.026
K La Ni Ca
1 2 1 1
Cartesian
2.786 2.786 3.013
0.000 2.786 0.000
2.786 0.000 0.000
0.000 0.000 0.000
0.000 0.000 3.013


No. 6
ScSnH2 (PBE-GGA, relaxed); V = 14.306 Å³ per atom; relative energy among the computed polymorphs = 278.4 meV per atom; symmetry = I-42d, No. 122
1.0
4.600 0.000 0.000
0.000 4.600 0.000
2.300 2.300 5.408
H Sn Sc
4 2 2
Cartesian
3.450 4.001 4.056
2.900 1.150 1.352
1.700 3.450 1.352
5.750 5.200 4.056
4.600 2.300 2.704
0.000 0.000 0.000
2.300 4.600 2.704
2.300 2.300 0.000


No. 7
Cd2ReAs (PBE-GGA, relaxed); energy of formation = 242.2 kJ/mol of formula units; V = 18.018 Å³ per atom; symmetry = Immm, No. 71
1.0
5.555 0.000 -0.011
2.834 4.778 0.011
-3.978 -2.769 2.714
Cd Re As
2 1 1
Cartesian
4.174 2.378 0.000
0.020 0.011 0.000
2.886 -0.190 1.352
1.525 2.199 1.362